The following is a GGA-PBE calculation of a geometry-optimized Ca2ScTi structure, from Alexandria via LeMat-Bulk.

energy: -16.1 eV/f.u.
energy of formation from the pure elements: 0.54 eV per atom
energy relative to the lowest polymorph listed for this composition: 0 meV/atom
mass density: 2.46 Mg/m³

a b c (Å): 7.7626 7.7626 7.7626
angles (deg): 90.00 90.00 90.00
Space group Fm-3m (No. 225)
Unique sites:
1 Ca 0.2500 0.2500 0.2500 x8
2 Sc 0.0000 0.0000 0.0000 x4
3 Ti 0.0000 0.0000 0.5000 x4

***

The following is a GGA-PBE calculation of a geometry-optimized CaScTi2 structure, from Alexandria via LeMat-Bulk.

energy: -21.9 eV/f.u.
energy of formation from the pure elements: 0.56 eV per atom
energy relative to the lowest polymorph listed for this composition: 0 meV/atom
mass density: 3.21 Mg/m³

a b c (Å): 7.2086 7.2086 7.2086
angles (deg): 90.00 90.00 90.00
Space group Fm-3m (No. 225)
Unique sites:
1 Ca 0.0000 0.0000 0.0000 x4
2 Sc 0.0000 0.0000 0.5000 x4
3 Ti 0.2500 0.2500 0.2500 x8

***

The following is a GGA-PBE calculation of a geometry-optimized CaScTi2 structure, from Alexandria via LeMat-Bulk.

energy: -21.1 eV/f.u.
energy of formation from the pure elements: 0.75 eV per atom
energy relative to the lowest polymorph listed for this composition: 189 meV/atom
mass density: 3.18 Mg/m³

a b c (Å): 4.2065 4.2065 21.3457
angles (deg): 90.00 90.00 90.00
Space group I-42d (No. 122)
Unique sites:
1 Ca 0.0000 0.0000 0.0000 x4
2 Sc 0.0000 0.0000 0.5000 x4
3 Ti 0.2341 0.2500 0.6250 x8

***

The following is a GGA-PBE calculation of a geometry-optimized CaSc2Ti structure, from Alexandria via LeMat-Bulk.

energy: -17.6 eV/f.u.
energy of formation from the pure elements: 1.25 eV per atom
energy relative to the lowest polymorph listed for this composition: 1077 meV/atom
mass density: 2.28 Mg/m³

a b c (Å): 7.1407 7.1407 10.1496
angles (deg): 90.00 90.00 90.00
Space group I-42d (No. 122)
Unique sites:
1 Ca 0.0000 0.0000 0.0000 x4
2 Sc 0.0010 0.2500 0.6250 x8
3 Ti 0.0000 0.0000 0.5000 x4

***

The following is a GGA-PBE calculation of a geometry-optimized CaSc2Ti structure, from Alexandria via LeMat-Bulk.

energy: -21.1 eV/f.u.
energy of formation from the pure elements: 0.36 eV per atom
energy relative to the lowest polymorph listed for this composition: 184 meV/atom
mass density: 2.92 Mg/m³

a b c (Å): 7.3975 7.3975 7.3975
angles (deg): 90.00 90.00 90.00
Space group Fm-3m (No. 225)
Unique sites:
1 Ca 0.0000 0.0000 0.0000 x4
2 Sc 0.2500 0.2500 0.2500 x8
3 Ti 0.0000 0.0000 0.5000 x4

***

The following is a GGA-PBE calculation of a geometry-optimized Ca2ScTi structure, from Alexandria via LeMat-Bulk.

energy: -15.3 eV/f.u.
energy of formation from the pure elements: 0.72 eV per atom
energy relative to the lowest polymorph listed for this composition: 181 meV/atom
mass density: 2.46 Mg/m³

a b c (Å): 8.5854 8.5854 6.3366
angles (deg): 90.00 90.00 90.00
Space group I-42d (No. 122)
Unique sites:
1 Ca 0.2391 0.7500 0.1250 x8
2 Sc 0.0000 0.0000 0.5000 x4
3 Ti 0.0000 0.0000 0.0000 x4

***

The following is a GGA-PBE calculation of a geometry-optimized CaSc2Ti structure, from Alexandria via LeMat-Bulk.

energy: -21.4 eV/f.u.
energy of formation from the pure elements: 0.29 eV per atom
energy relative to the lowest polymorph listed for this composition: 116 meV/atom
mass density: 2.93 Mg/m³

a b c (Å): 3.2424 3.2424 33.2453
angles (deg): 90.00 90.00 120.00
Space group R-3m (No. 166, hexagonal axes)
Unique sites:
1 Ca 0.0000 0.0000 0.0000 x3
2 Sc 0.0000 0.0000 0.0961 x6
3 Ti 0.0000 0.0000 0.5000 x3

***

The following is a GGA-PBE calculation of a geometry-optimized CaSc3Ti structure, from Alexandria via LeMat-Bulk.

energy: -26.8 eV/f.u.
energy of formation from the pure elements: 0.42 eV per atom
energy relative to the lowest polymorph listed for this composition: 0 meV/atom
mass density: 2.64 Mg/m³

a b c (Å): 5.1947 5.1947 5.1947
angles (deg): 90.00 90.00 90.00
Space group Pm-3m (No. 221)
Unique sites:
1 Ca 0.0000 0.0000 0.0000 x1
2 Sc 0.0000 0.5000 0.5000 x3
3 Ti 0.5000 0.5000 0.5000 x1

***

The following is a GGA-PBE calculation of a geometry-optimized CaSc2Ti structure, from Alexandria via LeMat-Bulk.

energy: -21.9 eV/f.u.
energy of formation from the pure elements: 0.18 eV per atom
energy relative to the lowest polymorph listed for this composition: 0 meV/atom
mass density: 2.86 Mg/m³

a b c (Å): 3.3459 3.3459 9.2165
angles (deg): 90.00 90.00 90.00
Space group P4/mmm (No. 123)
Unique sites:
1 Ca 0.0000 0.0000 0.0000 x1
2 Sc 0.5000 0.5000 0.3013 x2
3 Ti 0.0000 0.0000 0.5000 x1

***

The following is a GGA-PBE calculation of a geometry-optimized CaScTiW2 structure, from Alexandria via LeMat-Bulk.

energy: -33.6 eV/f.u.
energy of formation from the pure elements: 1.71 eV per atom
mass density: 7.41 Mg/m³

a b c (Å): 4.7970 4.7970 4.8743
angles (deg): 90.00 90.00 90.00
Space group P4/mmm (No. 123)
Unique sites:
1 Ca 0.0000 0.0000 0.0000 x1
2 Sc 0.5000 0.5000 0.5000 x1
3 Ti 0.5000 0.5000 0.0000 x1
4 W 0.0000 0.5000 0.5000 x2

***

The following is a GGA-PBE calculation of a geometry-optimized CaZr2ScTi structure, from Alexandria via LeMat-Bulk.

energy: -27.2 eV/f.u.
energy of formation from the pure elements: 1.22 eV per atom
mass density: 3.88 Mg/m³

a b c (Å): 5.0126 5.0126 5.3659
angles (deg): 90.00 90.00 90.00
Space group P4/mmm (No. 123)
Unique sites:
1 Ca 0.0000 0.0000 0.0000 x1
2 Zr 0.0000 0.5000 0.5000 x2
3 Sc 0.0000 0.0000 0.5000 x1
4 Ti 0.5000 0.5000 0.0000 x1

***

The following is a GGA-PBE calculation of a geometry-optimized Ca3ScTl structure, from Alexandria via LeMat-Bulk.

energy: -13.1 eV/f.u.
energy of formation from the pure elements: 0.32 eV per atom
energy relative to the lowest polymorph listed for this composition: 0 meV/atom
mass density: 2.96 Mg/m³

a b c (Å): 5.9172 5.9172 5.9172
angles (deg): 90.00 90.00 90.00
Space group Pm-3m (No. 221)
Unique sites:
1 Ca 0.0000 0.0000 0.5000 x3
2 Sc 0.5000 0.5000 0.5000 x1
3 Tl 0.0000 0.0000 0.0000 x1